# Sc2TaOs, relaxed, DFT PBE
# - total magnetization (μB per formula unit) = 0.1
# - DOS at the Fermi energy (states/eV/f.u.) = 7.0
# - formation energy (meV per atom) = -109
# - volume (Å³ per atom) = 18.01
data_Sc2TaOs
_space_group_name_H-M_alt 'F -4 3 m'
_space_group_IT_number 216
_space_group_name_Hall 'F -4 2 3'
_cell_length_a 6.6046
_cell_length_b 6.6046
_cell_length_c 6.6046
_cell_angle_alpha 90.00
_cell_angle_beta 90.00
_cell_angle_gamma 90.00
loop_
_atom_site_label
_atom_site_type_symbol
_atom_site_fract_x
_atom_site_fract_y
_atom_site_fract_z
_atom_site_occupancy
Sc1 Sc 0.0000 0.0000 0.0000 1
Sc2 Sc 0.2500 0.2500 0.2500 1
Ta1 Ta 0.2500 0.2500 0.7500 1
Os1 Os 0.0000 0.0000 0.5000 1

***

# ScTaOs2, relaxed, DFT PBE
# - total magnetization (μB per formula unit) = 0.0
# - DOS at the Fermi energy (states/eV/f.u.) = 5.0
# - formation energy (meV per atom) = 2
# - volume (Å³ per atom) = 17.14
data_ScTaOs2
_space_group_name_H-M_alt 'P 4 m m'
_space_group_IT_number 99
_space_group_name_Hall 'P 4 -2'
_cell_length_a 2.8371
_cell_length_b 2.8371
_cell_length_c 8.5184
_cell_angle_alpha 90.00
_cell_angle_beta 90.00
_cell_angle_gamma 90.00
loop_
_atom_site_label
_atom_site_type_symbol
_atom_site_fract_x
_atom_site_fract_y
_atom_site_fract_z
_atom_site_occupancy
Sc1 Sc 0.0000 0.0000 0.0000 1
Ta1 Ta 0.5000 0.5000 0.2963 1
Os1 Os 0.0000 0.0000 0.5505 1
Os2 Os 0.5000 0.5000 0.7467 1

***

Q: Which polymorph energy (0 for the lowest one) values were calculated for the entries above? A: 117 533, in meV per atom.
Q: Which ρ values were calculated for the entries above? A: 10.6 14.7, in g/cm3.